# Ac12Pr7Sm | Alexandria via LeMat-Bulk | PBE | relaxed
data_Ac12Pr7Sm
_chemical_formula_sum 'Ac12 Pr7 Sm1'
_cell_length_a 12.294
_cell_length_b 12.294
_cell_length_c 12.294
_cell_angle_alpha 116.75
_cell_angle_beta 116.75
_cell_angle_gamma 116.75
_space_group_name_H-M_alt 'P 1'
_space_group_IT_number 1
_space_group_name_Hall 'P 1'
loop_
_atom_site_label
_atom_site_type_symbol
_atom_site_fract_x
_atom_site_fract_y
_atom_site_fract_z
Ac1 Ac 0.000 0.412 0.588
Ac2 Ac 0.000 0.588 0.412
Ac3 Ac 0.070 0.070 0.417
Ac4 Ac 0.070 0.417 0.070
Ac5 Ac 0.412 0.000 0.588
Ac6 Ac 0.412 0.588 0.000
Ac7 Ac 0.417 0.070 0.070
Ac8 Ac 0.583 0.930 0.930
Ac9 Ac 0.588 0.000 0.412
Ac10 Ac 0.588 0.412 0.000
Ac11 Ac 0.930 0.583 0.930
Ac12 Ac 0.930 0.930 0.583
Pr1 Pr 0.000 0.000 0.000
Pr2 Pr 0.144 0.388 0.388
Pr3 Pr 0.388 0.144 0.388
Pr4 Pr 0.388 0.388 0.144
Pr5 Pr 0.612 0.612 0.856
Pr6 Pr 0.612 0.856 0.612
Pr7 Pr 0.856 0.612 0.612
Sm1 Sm 0.500 0.500 0.500
# Excess energy over the best structure of this formula in the dataset: 0 meV/atom
# Total magnetic moment: 0.000 μB per atom


# MgZrAsF2 | Alexandria via LeMat-Bulk | PBE | relaxed
data_MgZrAsF2
_chemical_formula_sum 'Mg1 Zr1 As1 F2'
_cell_length_a 4.211
_cell_length_b 4.211
_cell_length_c 5.499
_cell_angle_alpha 90.00
_cell_angle_beta 90.00
_cell_angle_gamma 90.00
_space_group_name_H-M_alt 'P 1'
_space_group_IT_number 1
_space_group_name_Hall 'P 1'
loop_
_atom_site_label
_atom_site_type_symbol
_atom_site_fract_x
_atom_site_fract_y
_atom_site_fract_z
Mg1 Mg 0.000 0.000 0.000
Zr1 Zr 0.500 0.500 0.500
As1 As 0.500 0.500 0.000
F1 F 0.000 0.500 0.500
F2 F 0.500 0.000 0.500
# Total magnetic moment: 0.118 μB per atom
# Energy relative to the elements, uncorrected: -1.900 eV/atom


# Pm12Si6H | Alexandria via LeMat-Bulk | PBE | relaxed
data_Pm12Si6H
_chemical_formula_sum 'Pm12 Si6 H1'
_cell_length_a 8.334
_cell_length_b 8.334
_cell_length_c 8.334
_cell_angle_alpha 99.84
_cell_angle_beta 99.84
_cell_angle_gamma 99.84
_space_group_name_H-M_alt 'P 1'
_space_group_IT_number 1
_space_group_name_Hall 'P 1'
loop_
_atom_site_label
_atom_site_type_symbol
_atom_site_fract_x
_atom_site_fract_y
_atom_site_fract_z
Pm1 Pm 0.032 0.929 0.686
Pm2 Pm 0.071 0.314 0.968
Pm3 Pm 0.184 0.562 0.423
Pm4 Pm 0.314 0.968 0.071
Pm5 Pm 0.423 0.184 0.562
Pm6 Pm 0.438 0.577 0.816
Pm7 Pm 0.562 0.423 0.184
Pm8 Pm 0.577 0.816 0.438
Pm9 Pm 0.686 0.032 0.929
Pm10 Pm 0.816 0.438 0.577
Pm11 Pm 0.929 0.686 0.032
Pm12 Pm 0.968 0.071 0.314
Si1 Si 0.124 0.298 0.628
Si2 Si 0.298 0.628 0.124
Si3 Si 0.372 0.876 0.702
Si4 Si 0.628 0.124 0.298
Si5 Si 0.702 0.372 0.876
Si6 Si 0.876 0.702 0.372
H1 H 0.000 0.000 0.000
# Total magnetic moment: 0.079 μB per atom
# DFT total energy: -5.2562 eV per atom


# BaYMg | Alexandria via LeMat-Bulk | PBE | relaxed
data_BaYMg
_chemical_formula_sum 'Ba1 Y1 Mg1'
_cell_length_a 5.856
_cell_length_b 5.856
_cell_length_c 3.610
_cell_angle_alpha 90.00
_cell_angle_beta 90.00
_cell_angle_gamma 120.00
_space_group_name_H-M_alt 'P 1'
_space_group_IT_number 1
_space_group_name_Hall 'P 1'
loop_
_atom_site_label
_atom_site_type_symbol
_atom_site_fract_x
_atom_site_fract_y
_atom_site_fract_z
Ba1 Ba 0.000 0.000 0.000
Y1 Y 0.333 0.667 0.611
Mg1 Mg 0.667 0.333 0.350
# Excess energy over the best structure of this formula in the dataset: 139 meV/atom
# Total magnetic moment: 0.000 μB per atom


Question: The highest total magnetic moment belongs to which entry?
Answer: MgZrAsF2


Question: Which formula does entry 2 have?
Answer: MgZrAsF2